# 1
# K2ErTm3C2

A relaxed structure of K2ErTm3C2 (GGA-PBE, OQMD via LeMat-Bulk).

Geometry as POSCAR:
```
K2ErTm3C2
1.0
3.5809 0.0000 0.0000
-1.7904 3.1011 0.0000
0.0000 0.0000 20.4349
K Er Tm C
2 1 3 2
Direct
0.0000 0.0000 0.0000
0.3333 0.6667 0.5007
0.0000 0.0000 0.3144
0.0000 0.0000 0.6864
0.3333 0.6667 0.1859
0.3333 0.6667 0.8143
0.6667 0.3333 0.2496
0.6667 0.3333 0.7503
```

## Properties
The total energy is -4.8959 eV/atom.

---

# 2
# CoSiMo

A relaxed structure of CoSiMo (GGA-PBE, OQMD via LeMat-Bulk).

Geometry as POSCAR:
```
CoSiMo
1.0
6.0184 0.0000 0.0000
0.0000 3.6371 0.0000
0.0000 0.0000 6.9077
Co Si Mo
4 4 4
Direct
0.1449 0.2500 0.0594
0.3551 0.7500 0.5594
0.6449 0.2500 0.4406
0.8551 0.7500 0.9406
0.2277 0.7500 0.8772
0.2723 0.2500 0.3772
0.7277 0.7500 0.6228
0.7723 0.2500 0.1228
0.0263 0.2500 0.6740
0.4737 0.7500 0.1740
0.5263 0.2500 0.8260
0.9737 0.7500 0.3260
```

## Properties
The energy above the most stable polymorph in this dataset is 0 meV/atom.

---

# 3
# SmHoZr2P2

A relaxed structure of SmHoZr2P2 (GGA-PBE, OQMD via LeMat-Bulk).

Geometry as POSCAR:
```
SmHoZr2P2
1.0
-2.0209 2.0209 7.8180
2.0209 -2.0209 7.8180
2.0209 2.0209 -7.8180
Sm Ho Zr P
1 1 2 2
Direct
0.0000 0.0000 0.0000
0.3560 0.3560 0.0000
0.1798 0.6798 0.5000
0.6798 0.1798 0.5000
0.5503 0.5503 0.0000
0.8084 0.8084 0.0000
```

## Properties
The total energy is -7.2377 eV/atom.

---

# 4
# NaHfScPd

A relaxed structure of NaHfScPd (GGA-PBE, OQMD via LeMat-Bulk).

Geometry as POSCAR:
```
NaHfScPd
1.0
0.0000 3.4076 3.4076
3.4076 0.0000 3.4076
3.4076 3.4076 0.0000
Na Hf Sc Pd
1 1 1 1
Direct
0.0000 0.0000 0.0000
0.2500 0.2500 0.2500
0.7500 0.7500 0.7500
0.5000 0.5000 0.5000
```

## Properties
The energy above the most stable polymorph in this dataset is 0 meV/atom.

---

# 5
# TmHgB

A relaxed structure of TmHgB (GGA-PBE, OQMD via LeMat-Bulk).

Geometry as POSCAR:
```
TmHgB
1.0
0.0000 3.2222 3.2222
3.2222 0.0000 3.2222
3.2222 3.2222 0.0000
Tm Hg B
1 1 1
Direct
0.0000 0.0000 0.0000
0.2500 0.2500 0.2500
0.7500 0.7500 0.7500
```

## Properties
The energy above the most stable polymorph in this dataset is 803 meV/atom.

---

# 6
# Pm2SN

A relaxed structure of Pm2SN (GGA-PBE, OQMD via LeMat-Bulk).

Geometry as POSCAR:
```
Pm2SN
1.0
3.8356 0.0000 0.0000
0.0000 3.8356 0.0000
0.0000 0.0000 5.4273
Pm S N
2 1 1
Direct
0.0000 0.0000 0.0000
0.5000 0.5000 0.5000
0.0000 0.0000 0.5000
0.5000 0.5000 0.0000
```

## Properties
The total energy is -7.0404 eV/atom.

---

# 7
# TmTlNO

A relaxed structure of TmTlNO (GGA-PBE, OQMD via LeMat-Bulk).

Geometry as POSCAR:
```
TmTlNO
1.0
3.7787 0.0000 0.0000
0.0000 6.6248 0.0000
0.0000 0.0000 5.9949
Tm Tl N O
2 2 2 2
Direct
0.0000 0.1685 0.0000
0.0000 0.8315 0.5000
0.5000 0.3385 0.5064
0.5000 0.6615 0.0064
0.5000 0.3229 0.9015
0.5000 0.6771 0.4015
0.0000 0.1199 0.3502
0.0000 0.8801 0.8502
```

## Properties
The energy above the most stable polymorph in this dataset is 158 meV/atom.

---

# 8
# TbY2Cu2B2N3

A relaxed structure of TbY2Cu2B2N3 (GGA-PBE, OQMD via LeMat-Bulk).

Geometry as POSCAR:
```
TbY2Cu2B2N3
1.0
-1.7474 1.7474 10.2325
1.7474 -1.7474 10.2325
1.7474 1.7474 -10.2325
Tb Y Cu B N
1 2 2 2 3
Direct
0.0000 0.0000 0.0000
0.3791 0.3791 0.0000
0.6209 0.6209 0.0000
0.2500 0.7500 0.5000
0.7500 0.2500 0.5000
0.1845 0.1845 0.0000
0.8155 0.8155 0.0000
0.1143 0.1143 0.0000
0.5000 0.5000 0.0000
0.8857 0.8857 0.0000
```

## Properties
The total energy is -7.3787 eV/atom.